Sb2IrBr: relaxed, GGA-PBE.

Excess energy over the best structure of this formula in the dataset = 381 meV/atom
Volume = 27.94 A^3/atom
DOS(E_F) = 1.02 states/eV per cell
Raw formation energy = 0.499 eV/f.u.
Total magnetic moment = 0.00 μB per formula unit

Cell lengths 3.6495, 3.6495, 8.3908 Å; angles 90.00, 90.00, 90.00 degrees
With the nearest neighbours (Å) after each atom.
Element x y z (fractional)
1 Sb 0.0000 0.0000 0.0000  4 Ir 2.65, 1 Br 2.65
2 Sb 0.5000 0.5000 0.3771  1 Ir 2.57
3 Ir 0.5000 0.5000 0.0704  5 Sb 2.57-2.65
4 Br 0.0000 0.0000 0.6839  1 Sb 2.65